Here is a relaxed structure of K2PaIrO8 from the Alexandria database. Energies are from PBE-GGA.

Symmetry ... P2/m, No. 10

a = 5.661 Å, b = 5.734 Å, c = 6.660 Å
α = 90.00°, β = 90.00°, γ = 91.15°
Each line ends with the local moment (μB).
Fractional coordinates of all 12 atoms:
K1 0.500 0.500 0.757  0.00
K2 0.500 0.500 0.243  0.00
Pa1 0.000 0.000 0.500  0.16
Ir1 0.000 0.000 0.000  -0.02
O1 0.162 0.846 0.218  0.02
O2 0.776 0.771 0.000  0.05
O3 0.838 0.154 0.218  0.02
O4 0.838 0.154 0.782  0.02
O5 0.224 0.229 0.000  0.05
O6 0.162 0.846 0.782  0.02
O7 0.760 0.755 0.500  0.10
O8 0.240 0.245 0.500  0.10

---

Here is a relaxed structure of Ba2Eu2Ti2Cu2O11 from the Alexandria database. Energies are from PBE-GGA.

Symmetry ... P4/mmm, No. 123

a = 3.924 Å, b = 3.924 Å, c = 16.006 Å
α = 90.00°, β = 90.00°, γ = 90.00°
Each line ends with the local moment (μB).
Fractional coordinates of all 19 atoms:
Ba1 0.000 0.000 0.762  0.00
Ba2 0.000 0.000 0.238  0.00
Eu1 0.000 0.000 0.000  6.32
Eu2 0.000 0.000 0.500  -6.45
Ti1 0.500 0.500 0.625  -0.01
Ti2 0.500 0.500 0.375  -0.01
Cu1 0.500 0.500 0.109  -0.01
Cu2 0.500 0.500 0.891  -0.01
O1 0.500 0.500 0.744  0.01
O2 0.500 0.000 0.616  0.04
O3 0.000 0.500 0.616  0.04
O4 0.000 0.500 0.384  0.04
O5 0.500 0.500 0.500  0.09
O6 0.500 0.500 0.256  0.01
O7 0.000 0.500 0.095  -0.07
O8 0.000 0.500 0.905  -0.07
O9 0.500 0.000 0.905  -0.07
O10 0.500 0.000 0.384  0.04
O11 0.500 0.000 0.095  -0.07

---

It is found that the energy relative to the elements, uncorrected values, taken in the order of the records, are -1.573; -2.448 eV/atom.
It is found that the density of states at the Fermi level values, taken in the order of the records, are 4.33; 15.11 states/eV/cell.